Record 1
Below is an optimized crystal structure of HfSc3H, with properties calculated at the PBE level.

## Properties
V	93	Å³/f.u.
offset from the most stable computed form	0.0000	eV per atom
total magnetization	0.000	μB per atom

a b c (Å): 4.5279 4.5279 4.5279
angles (deg): 90.00 90.00 90.00
Last column: nearest neighbours and their distance in Å.
Positions (direct):
1 Hf 0.0000 0.0000 0.0000  12 Sc 3.20
2 Sc 0.0000 0.5000 0.5000  2 H 2.26
3 Sc 0.5000 0.0000 0.5000  2 H 2.26
4 Sc 0.5000 0.5000 0.0000  2 H 2.26
5 H 0.5000 0.5000 0.5000  6 Sc 2.26

=====

Record 2
Below is an optimized crystal structure of Re2PbCl, with properties calculated at the PBE level.

## Properties
V	76	Å³/f.u.
offset from the most stable computed form	1.3156	eV per atom
total magnetization	0.000	μB per atom
energy relative to the elements, uncorrected	1.45	eV per atom

a b c (Å): 2.8936 4.0723 6.4736
angles (deg): 90.00 90.00 90.00
Last column: nearest neighbours and their distance in Å.
Positions (direct):
1 Re 0.0000 0.0000 0.1837  1 Re 2.38
2 Re 0.0000 0.0000 0.8163  1 Re 2.38
3 Pb 0.5000 0.5000 0.5000  2 Pb 2.89, 8 Re 3.23, 2 Cl 3.24
4 Cl 0.5000 0.5000 0.0000  8 Re 2.77, 2 Cl 2.89